First-principles (PBE-GGA) data for a geometry-optimized Ho3Cu4Si2 structure, as listed in the Alexandria database.

a = 5.5530 Å, b = 5.5530 Å, c = 8.1876 Å
α = 108.07°, β = 108.07°, γ = 43.89°
Last column: nearest neighbours and their distance in Å.
Fractional coordinates of all 9 atoms:
Ho: 0.0000 0.0000 0.0000  8 Cu 2.97-3.11, 4 Si 3.01
Ho: 0.3361 0.3361 0.3335  8 Cu 3.00-3.06, 4 Si 3.01-3.03
Ho: 0.6639 0.6639 0.6665  8 Cu 3.00-3.06, 4 Si 3.01-3.03
Cu: 0.0602 0.0602 0.3895  2 Si 2.39, 1 Cu 2.51
Cu: 0.2834 0.2834 0.9422  1 Si 2.40, 2 Cu 2.47
Cu: 0.7166 0.7166 0.0578  1 Si 2.40, 2 Cu 2.47
Cu: 0.9398 0.9398 0.6105  2 Si 2.39, 1 Cu 2.51
Si: 0.3890 0.3890 0.7210  3 Cu 2.39-2.40
Si: 0.6110 0.6110 0.2790  3 Cu 2.39-2.40

Summary:
Formation energy from raw total energies, eV per atom: -0.5151
Final energy, eV for the cell shown: -45.6
Size of the total moment, μB per cell: 0.00


First-principles (PBE-GGA) data for a geometry-optimized Ho7In2Cu2 structure, as listed in the Alexandria database.

a = 6.8530 Å, b = 6.8530 Å, c = 6.9596 Å
α = 90.00°, β = 90.00°, γ = 108.47°
Last column: nearest neighbours and their distance in Å.
Fractional coordinates of all 11 atoms:
Ho: 0.0000 0.0000 0.0000  2 Cu 3.28
Ho: 0.0000 0.5000 0.2533  2 Cu 2.71
Ho: 0.0000 0.5000 0.7467  2 Cu 2.71
Ho: 0.5000 0.0000 0.2533  2 Cu 2.71
Ho: 0.5000 0.0000 0.7467  2 Cu 2.71
Ho: 0.5000 0.5000 0.2409  2 Cu 2.83, 2 In 3.16
Ho: 0.5000 0.5000 0.7591  2 Cu 2.83, 2 In 3.16
In: 0.1755 0.1755 0.5000  1 In 2.81
In: 0.8245 0.8245 0.5000  1 In 2.81
Cu: 0.2948 0.7052 0.0000  6 Ho 2.71-2.83
Cu: 0.7052 0.2948 0.0000  6 Ho 2.71-2.83

Summary:
Final energy, eV for the cell shown: -46.6
Size of the total moment, μB per cell: 0.00
ΔE_f, meV/atom: -80